The following is a PBE calculation of a relaxed structure of SrP2WN6, from the Alexandria database.

Cell lengths 7.3861, 7.3861, 5.4128 Å; angles 103.14, 103.14, 96.12 degrees
Last column: nearest neighbours and their distance in Å.
Fractional positions:
1 Sr 0.1358 0.8642 0.7500  6 N 2.52-2.78
2 Sr 0.8642 0.1358 0.2500  6 N 2.52-2.78
3 P 0.1715 0.3213 0.8274  4 N 1.62-1.67
4 P 0.3213 0.1715 0.3274  4 N 1.62-1.67
5 P 0.6787 0.8285 0.6726  4 N 1.62-1.67
6 P 0.8285 0.6787 0.1726  4 N 1.62-1.67
7 W 0.2982 0.7018 0.2500  4 N 1.84-1.88
8 W 0.7018 0.2982 0.7500  4 N 1.84-1.88
9 N 0.0548 0.6633 0.2827  1 P 1.67, 1 W 1.84
10 N 0.1793 0.2125 0.0670  2 P 1.66-1.67
11 N 0.2125 0.1793 0.5670  2 P 1.66-1.67
12 N 0.2921 0.5323 0.9297  1 P 1.62
13 N 0.3367 0.9452 0.2173  1 P 1.67, 1 W 1.84
14 N 0.4677 0.7079 0.5703  1 P 1.62
15 N 0.5323 0.2921 0.4297  1 P 1.62
16 N 0.6633 0.0548 0.7827  1 P 1.67, 1 W 1.84
17 N 0.7079 0.4677 0.0703  1 P 1.62
18 N 0.7875 0.8207 0.4330  2 P 1.66-1.67
19 N 0.8207 0.7875 0.9330  2 P 1.66-1.67
20 N 0.9452 0.3367 0.7173  1 P 1.67, 1 W 1.84

Properties
Crystal system = monoclinic
Total DFT energy (no corrections) = -8.07 eV per atom

=====

The following is a PBE calculation of a relaxed structure of Sr2PWN5, from the Alexandria database.

Cell lengths 7.2728, 7.2728, 11.4995 Å; angles 90.00, 90.00, 155.24 degrees
Last column: nearest neighbours and their distance in Å.
Fractional positions:
1 Sr 0.0884 0.9116 0.5000  5 N 2.54-2.65
2 Sr 0.1389 0.8611 0.1689  7 N 2.59-2.78
3 Sr 0.8611 0.1389 0.6689  7 N 2.59-2.78
4 Sr 0.9116 0.0884 0.0000  5 N 2.54-2.65
5 P 0.4385 0.5615 0.2597  2 N 1.58-1.67
6 P 0.5615 0.4385 0.7597  2 N 1.58-1.67
7 W 0.2119 0.7881 0.8842  3 N 1.80-2.00
8 W 0.7881 0.2119 0.3842  3 N 1.80-2.00
9 N 0.0469 0.9531 0.8410  2 P 1.83
10 N 0.2951 0.7049 0.4923  2 W 2.00
11 N 0.3212 0.6788 0.2561  1 P 1.67
12 N 0.3350 0.6650 0.8467  1 W 1.80
13 N 0.4947 0.5053 0.1414  1 P 1.58
14 N 0.5053 0.4947 0.6414  1 P 1.58
15 N 0.6650 0.3350 0.3467  1 W 1.80
16 N 0.6788 0.3212 0.7561  1 P 1.67
17 N 0.7049 0.2951 0.9923  2 W 2.00
18 N 0.9531 0.0469 0.3410  2 P 1.83

Properties
Crystal system = orthorhombic
Total DFT energy (no corrections) = -7.72 eV per atom

=====

The following is a PBE calculation of a relaxed structure of Sr2ZnPN4, from the Alexandria database.

Cell lengths 10.8491, 9.6869, 5.9780 Å; angles 84.12, 62.64, 33.24 degrees
Last column: nearest neighbours and their distance in Å.
Fractional positions:
1 Sr 0.0546 0.0546 0.6954  6 N 2.78-3.06
2 Sr 0.3046 0.3046 0.9454  6 N 2.78-3.06
3 Sr 0.6954 0.6954 0.0546  6 N 2.78-3.06
4 Sr 0.9454 0.9454 0.3046  6 N 2.78-3.06
5 Zn 0.1250 0.1250 0.1250  4 N 1.97
6 Zn 0.8750 0.8750 0.8750  4 N 1.97
7 P 0.3750 0.3750 0.3750  4 N 1.68
8 P 0.6250 0.6250 0.6250  4 N 1.68
9 N 0.0296 0.6274 0.5317  1 P 1.68
10 N 0.3113 0.5317 0.6274  1 P 1.68
11 N 0.3726 0.9704 0.6887  1 P 1.68
12 N 0.4683 0.6887 0.9704  1 P 1.68
13 N 0.5317 0.3113 0.0296  1 P 1.68
14 N 0.6274 0.0296 0.3113  1 P 1.68
15 N 0.6887 0.4683 0.3726  1 P 1.68
16 N 0.9704 0.3726 0.4683  1 P 1.68

Properties
Crystal system = orthorhombic
Total DFT energy (no corrections) = -5.76 eV per atom

=====

The following is a PBE calculation of a relaxed structure of Sr2ZnPN, from the Alexandria database.

Cell lengths 6.8494, 3.9694, 8.5590 Å; angles 90.00, 107.99, 90.00 degrees
Last column: nearest neighbours and their distance in Å.
Fractional positions:
1 Sr 0.1815 0.2500 0.3795  2 N 2.64
2 Sr 0.2039 0.2500 0.9657  3 N 2.50-2.71
3 Sr 0.7961 0.7500 0.0343  3 N 2.50-2.71
4 Sr 0.8185 0.7500 0.6205  2 N 2.64
5 Zn 0.4723 0.7500 0.2531  1 N 1.94
6 Zn 0.5277 0.2500 0.7469  1 N 1.94
7 P 0.3219 0.7500 0.6989  2 Zn 2.40
8 P 0.6781 0.2500 0.3011  2 Zn 2.40
9 N 0.1746 0.7500 0.1738  1 Zn 1.94
10 N 0.8254 0.2500 0.8262  1 Zn 1.94

Properties
Crystal system = monoclinic
Total DFT energy (no corrections) = -4.47 eV per atom